VASP calculation (PBE) on Er2LuSc3As2Os after structural relaxation.

```
Er2LuSc3As2Os
1.0
-3.342 -2.153 -0.861
4.251 -5.475 -2.812
-1.841 -0.041 7.250
Er Sc Lu As Os
2 3 1 2 1
direct
0.000 0.407 0.002 Er
0.000 0.002 0.407 Er
0.500 0.761 0.001 Sc
0.500 0.001 0.761 Sc
0.500 0.236 0.236 Sc
0.000 0.596 0.596 Lu
0.500 0.667 0.336 As
0.500 0.336 0.667 As
0.000 0.995 0.995 Os
```

theoretical density	8294	kg/m³
calculated total energy	-6.754	eV/atom



VASP calculation (PBE) on Er3LuSc2As2Os after structural relaxation.

```
Er3LuSc2As2Os
1.0
-3.751 -1.123 1.187
0.848 -6.619 -3.580
2.096 0.661 7.247
As Os Er Lu Sc
2 1 3 1 2
direct
0.500 0.335 0.672 As
0.500 0.672 0.335 As
0.000 0.989 0.989 Os
0.000 0.600 0.600 Er
0.000 0.407 0.997 Er
0.000 0.997 0.407 Er
0.500 0.239 0.239 Lu
0.500 0.000 0.761 Sc
0.500 0.761 0.000 Sc
```

theoretical density	9031	kg/m³
calculated total energy	-6.539	eV/atom



VASP calculation (PBE) on Er3Lu2ScAs2Os after structural relaxation.

```
Er3Lu2ScAs2Os
1.0
4.105 0.000 0.000
0.000 6.631 3.830
0.000 -6.631 3.830
Os Er As Lu Sc
1 3 2 2 1
direct
0.000 0.987 0.987 Os
0.000 0.598 0.997 Er
0.000 0.412 0.412 Er
0.000 0.997 0.598 Er
0.500 0.339 0.668 As
0.500 0.668 0.339 As
0.500 0.000 0.242 Lu
0.500 0.242 0.000 Lu
0.500 0.758 0.758 Sc
```

theoretical density	9847	kg/m³
calculated total energy	-6.317	eV/atom



VASP calculation (PBE) on Er3Tm2LuAs2Os after structural relaxation.

```
Er3Tm2LuAs2Os
1.0
4.131 0.000 0.000
0.000 6.716 3.890
0.000 -6.716 3.890
Lu As Tm Os Er
1 2 2 1 3
direct
0.000 0.245 0.245 Lu
0.000 0.665 0.334 As
0.000 0.334 0.665 As
0.000 0.000 0.755 Tm
0.000 0.755 0.000 Tm
0.500 0.003 0.003 Os
0.500 0.000 0.402 Er
0.500 0.596 0.596 Er
0.500 0.402 0.000 Er
```

theoretical density	10424	kg/m³
calculated total energy	-6.072	eV/atom



VASP calculation (PBE) on Er2TmLu3As2Os after structural relaxation.

```
Er2TmLu3As2Os
1.0
4.129 0.000 0.000
0.000 6.700 3.863
0.000 -6.700 3.863
Os Er Lu As Tm
1 2 3 2 1
direct
0.000 0.002 0.002 Os
0.000 0.999 0.598 Er
0.000 0.598 0.999 Er
0.500 0.757 0.757 Lu
0.500 0.000 0.245 Lu
0.500 0.245 0.000 Lu
0.500 0.333 0.666 As
0.500 0.666 0.333 As
0.000 0.400 0.400 Tm
```

theoretical density	10634	kg/m³
calculated total energy	-6.085	eV/atom



VASP calculation (PBE) on ErMgAsO after structural relaxation.

```
ErMgAsO
1.0
4.390 0.000 0.000
0.000 6.062 0.000
0.000 0.000 5.851
Mg O Er As
2 2 2 2
direct
0.500 0.401 0.056 Mg
0.500 0.599 0.556 Mg
0.500 0.687 0.885 O
0.500 0.313 0.385 O
0.000 0.775 0.911 Er
0.000 0.225 0.411 Er
0.000 0.243 0.902 As
0.000 0.757 0.402 As
```

energy above the lowest structure with this stoichiometry	0.05	eV/f.u.
theoretical density	6025	kg/m³